{"formula": "La6Pr2Er5", "functional": "GGA-PBE", "state": "relaxed", "lattice_angstrom": [[12.0508, 0.0000, 0.0000], [0.0000, 20.6786, 0.0000], [0.0000, 0.0000, 3.6532]], "species": ["La", "La", "La", "La", "La", "La", "La", "La", "La", "La", "La", "La", "Pr", "Pr", "Pr", "Pr", "Er", "Er", "Er", "Er", "Er", "Er", "Er", "Er", "Er", "Er"], "fractional_positions": [[0.0416, 0.0780, 0.0000], [0.0709, 0.3621, 0.0000], [0.1861, 0.6216, 0.5000], [0.3139, 0.1216, 0.5000], [0.4291, 0.8621, 0.0000], [0.4584, 0.5780, 0.0000], [0.5416, 0.4220, 0.0000], [0.5709, 0.1379, 0.0000], [0.6861, 0.8784, 0.5000], [0.8139, 0.3784, 0.5000], [0.9291, 0.6379, 0.0000], [0.9584, 0.9220, 0.0000], [0.1657, 0.7834, 0.0000], [0.3343, 0.2834, 0.0000], [0.6657, 0.7166, 0.0000], [0.8343, 0.2166, 0.0000], [0.0000, 0.5000, 0.5000], [0.0941, 0.2215, 0.5000], [0.2121, 0.9441, 0.5000], [0.2879, 0.4441, 0.5000], [0.4059, 0.7215, 0.5000], [0.5000, 0.0000, 0.5000], [0.5941, 0.2785, 0.5000], [0.7121, 0.5559, 0.5000], [0.7879, 0.0559, 0.5000], [0.9059, 0.7785, 0.5000]], "n_ef_per_ev_cell": 37.71, "formation_enthalpy_0k_mev_per_atom": 112, "rho_g_cm3": 7.12}